Sc2IrRu: relaxed, GGA-PBE.

Output
DFT formation energy (kJ/mol of atoms): -36.62
Space-group type: No. 166
DFT total energy (eV per atom): -8.08
N(E_F) (states/eV per cell): 3.4

a = 8.4784 Å, b = 8.4784 Å, c = 8.4784 Å
α = 21.02°, β = 21.02°, γ = 21.02°
Last column: nearest neighbours and their distance in Å.
Sites, in units of the cell vectors:
Sc1 0.0020 0.0020 0.0020  3 Ru 2.70, 3 Ir 2.77
Sc2 0.4980 0.4980 0.4980  3 Ru 2.70, 3 Ir 2.77
Ir1 0.2500 0.2500 0.2500  6 Sc 2.77, 6 Ir 3.09
Ru1 0.7500 0.7500 0.7500  6 Sc 2.70